No. 1
First-principles (PBE-GGA) data for a relaxed Tl2SeF crystal, as listed in Alexandria.

The structure in extended XYZ format:
```
4
Lattice="3.400 0.000 0.000 0.000 3.400 0.000 0.000 0.000 8.318" Properties=species:S:1:pos:R:3 pbc="T T T"
Tl 0.000 0.000 6.611
Tl 0.000 0.000 1.706
Se 1.700 1.700 4.159
F 1.700 1.700 0.000
```

Calculated values
Formation energy from raw total energies, eV/f.u.: -3.29
Magnetization, μB/atom: 0.0000
Uncorrected energy, eV/atom: -3.34
Offset from the most stable computed form, eV/f.u.: 0.65


No. 2
First-principles (PBE-GGA) data for a relaxed LaHg2H crystal, as listed in Alexandria.

The structure in extended XYZ format:
```
4
Lattice="-2.959 -0.455 4.203 -2.398 4.142 1.928 -5.127 0.430 -0.395" Properties=species:S:1:pos:R:3 pbc="T T T"
H 0.000 0.000 0.000
Hg -2.621 1.029 1.434
Hg -7.862 3.088 4.302
La -5.241 2.059 2.868
```

Calculated values
Magnetization, μB/atom: 0.0000
Uncorrected energy, eV/atom: -2.06
Offset from the most stable computed form, eV/f.u.: 1.46


No. 3
First-principles (PBE-GGA) data for a relaxed HoCo4Ge4 crystal, as listed in Alexandria.

The structure in extended XYZ format:
```
18
Lattice="5.769 0.000 0.000 0.000 5.769 0.000 0.000 0.000 7.949" Properties=species:S:1:pos:R:3 pbc="T T T"
Ho 0.000 0.000 0.000
Ho 2.884 2.884 3.974
Co 1.298 2.884 7.068
Co 4.471 2.884 7.068
Co 2.884 4.471 0.881
Co 2.884 1.298 0.881
Co 0.000 4.182 3.093
Co 0.000 1.587 3.093
Co 1.587 0.000 4.856
Co 4.182 0.000 4.856
Ge 2.884 4.521 6.490
Ge 2.884 1.248 6.490
Ge 4.521 2.884 1.459
Ge 1.248 2.884 1.459
Ge 1.637 0.000 2.515
Ge 4.132 0.000 2.515
Ge 0.000 1.637 5.434
Ge 0.000 4.132 5.434
```

Calculated values
Energy of formation from the pure elements, eV/atom: -0.30
Magnetization, μB/atom: 0.0001
Uncorrected energy, eV/atom: -6.02


No. 4
First-principles (PBE-GGA) data for a relaxed PrGeRh4 crystal, as listed in Alexandria.

The structure in extended XYZ format:
```
12
Lattice="-1.701 3.602 0.127 -4.684 -2.044 -4.774 -4.542 -2.338 5.458" Properties=species:S:1:pos:R:3 pbc="T T T"
Pr -6.423 -3.069 1.019
Pr -2.803 -1.312 -0.335
Ge -4.444 -2.206 3.036
Ge -4.782 -2.176 -2.352
Rh -2.271 -1.169 2.729
Rh 0.000 0.000 0.000
Rh -8.727 -1.902 -0.398
Rh -2.201 1.123 1.209
Rh -4.382 0.241 -2.998
Rh -6.545 -1.020 3.809
Rh -6.169 -0.678 -0.851
Rh -4.758 -0.101 1.662
```

Calculated values
Energy of formation from the pure elements, eV/atom: -0.42
Magnetization, μB/atom: 0.0000
Uncorrected energy, eV/atom: -6.88


No. 5
First-principles (PBE-GGA) data for a relaxed Li3InHg crystal, as listed in Alexandria.

The structure in extended XYZ format:
```
5
Lattice="4.964 0.000 0.000 0.000 4.964 0.000 0.000 0.000 4.964" Properties=species:S:1:pos:R:3 pbc="T T T"
Li 0.000 2.482 0.000
Li 0.000 0.000 2.482
Li 2.482 0.000 0.000
Hg 0.000 0.000 0.000
In 2.482 2.482 2.482
```

Calculated values
Energy of formation from the pure elements, eV/atom: 0.00
Magnetization, μB/atom: 0.0000
Uncorrected energy, eV/atom: -1.76
Offset from the most stable computed form, eV/f.u.: 1.54


No. 6
First-principles (PBE-GGA) data for a relaxed Nd2AgSb crystal, as listed in Alexandria.

The structure in extended XYZ format:
```
4
Lattice="4.481 0.000 0.000 2.240 3.880 0.000 2.240 1.293 7.281" Properties=species:S:1:pos:R:3 pbc="T T T"
Sb 0.000 0.000 0.000
Nd 2.240 1.293 1.797
Nd 6.721 3.880 5.484
Ag 4.481 2.587 3.641
```

Calculated values
Formation energy from raw total energies, eV/f.u.: -2.27
Magnetization, μB/atom: 0.0009
Uncorrected energy, eV/atom: -4.69


No. 7
First-principles (PBE-GGA) data for a relaxed BaLi2Te crystal, as listed in Alexandria.

The structure in extended XYZ format:
```
4
Lattice="-1.300 3.430 2.592 -3.849 0.103 -2.067 -4.388 -4.348 3.555" Properties=species:S:1:pos:R:3 pbc="T T T"
Ba -6.438 -1.158 2.197
Li -4.480 -0.616 -1.432
Li -3.311 0.851 1.105
Te -3.274 -1.910 0.887
```

Calculated values
Formation energy from raw total energies, eV/f.u.: -2.97
Magnetization, μB/atom: 0.0000
Uncorrected energy, eV/atom: -2.97


No. 8
First-principles (PBE-GGA) data for a relaxed SrAc4Tl2 crystal, as listed in Alexandria.

The structure in extended XYZ format:
```
14
Lattice="-3.911 5.514 -4.986 -7.559 -1.972 0.162 3.573 4.165 9.056" Properties=species:S:1:pos:R:3 pbc="T T T"
Sr -4.035 1.792 3.857
Sr -6.159 7.214 4.691
Ac 0.264 1.612 3.559
Ac -5.265 1.337 -0.227
Ac -5.687 4.774 1.365
Ac -2.201 7.588 1.963
Ac -1.669 3.835 1.298
Ac -0.182 5.406 4.791
Ac -4.779 4.036 7.342
Ac -6.048 4.873 -3.628
Tl -3.524 5.178 4.222
Tl -8.033 3.691 -1.140
Tl -3.545 3.811 -1.614
Tl -1.720 2.750 6.387
```

Calculated values
Energy of formation from the pure elements, eV/atom: -0.12
Magnetization, μB/atom: 0.0000
Uncorrected energy, eV/atom: -3.39


No. 9
First-principles (PBE-GGA) data for a relaxed RbNpTcN3 crystal, as listed in Alexandria.

The structure in extended XYZ format:
```
12
Lattice="3.843 0.000 0.000 -1.921 6.598 0.081 0.000 -1.813 7.756" Properties=species:S:1:pos:R:3 pbc="T T T"
Rb 0.000 3.068 7.345
Rb 1.921 1.717 0.492
Np 1.921 1.014 4.502
Np 0.000 3.771 3.335
Tc 0.000 -0.537 2.678
Tc 1.921 5.323 5.159
N 1.921 4.128 2.080
N 1.921 3.245 4.695
N 1.921 -0.492 2.546
N 0.000 1.540 3.142
N 0.000 5.277 5.291
N 0.000 0.658 5.757
```

Calculated values
Formation energy from raw total energies, eV/f.u.: -2.98
Magnetization, μB/atom: 0.3339
Uncorrected energy, eV/atom: -8.71


No. 10
First-principles (PBE-GGA) data for a relaxed Te2SO crystal, as listed in Alexandria.

The structure in extended XYZ format:
```
4
Lattice="-4.771 7.029 0.168 -6.086 5.211 2.830 -3.225 7.142 3.286" Properties=species:S:1:pos:R:3 pbc="T T T"
S -7.041 9.691 3.142
Te -12.937 17.805 5.773
Te -1.145 1.576 0.511
O 0.000 0.000 0.000
```

Calculated values
Formation energy from raw total energies, eV/f.u.: 0.24
Magnetization, μB/atom: 0.0000
Uncorrected energy, eV/atom: -3.78
Offset from the most stable computed form, eV/f.u.: 0.00


No. 11
First-principles (PBE-GGA) data for a relaxed BaLi2CdAg crystal, as listed in Alexandria.

The structure in extended XYZ format:
```
5
Lattice="-5.066 0.586 1.032 -0.995 -4.563 -2.294 0.675 -2.535 4.749" Properties=species:S:1:pos:R:3 pbc="T T T"
Li -0.497 -2.281 -1.147
Li -2.533 0.293 0.516
Ba -2.693 -3.256 1.744
Ag 0.337 -1.267 2.375
Cd 0.000 0.000 0.000
```

Calculated values
Energy of formation from the pure elements, eV/atom: -0.04
Magnetization, μB/atom: 0.0000
Uncorrected energy, eV/atom: -1.95
Offset from the most stable computed form, eV/f.u.: 0.23


No. 12
First-principles (PBE-GGA) data for a relaxed Ca2CdSe crystal, as listed in Alexandria.

The structure in extended XYZ format:
```
4
Lattice="0.000 3.791 3.791 3.791 0.000 3.791 3.791 3.791 0.000" Properties=species:S:1:pos:R:3 pbc="T T T"
Ca 1.895 1.895 1.895
Ca 5.686 5.686 5.686
Se 0.000 0.000 0.000
Cd 3.791 3.791 3.791
```

Calculated values
Formation energy from raw total energies, eV/f.u.: -2.85
Magnetization, μB/atom: 0.0000
Uncorrected energy, eV/atom: -2.81
Offset from the most stable computed form, eV/f.u.: 1.19


No. 13
First-principles (PBE-GGA) data for a relaxed MnCuSb crystal, as listed in Alexandria.

The structure in extended XYZ format:
```
3
Lattice="4.305 0.000 0.000 2.153 3.728 0.000 2.153 1.243 3.515" Properties=species:S:1:pos:R:3 pbc="T T T"
Cu 4.305 2.486 1.758
Mn 6.458 3.728 2.636
Sb 0.000 0.000 0.000
```

Calculated values
Formation energy from raw total energies, eV/f.u.: 0.46
Magnetization, μB/atom: 1.1521
Uncorrected energy, eV/atom: -5.64
Offset from the most stable computed form, eV/f.u.: 0.17


no.,D(E_F) (states/eV per cell)
1,1.539
2,4.021
3,13.365
4,16.391
5,2.062
6,5.929
7,1.259
8,16.242
9,13.402
10,2.854
11,3.179
12,4.389
13,0.793